Record 1
Below is a PBEsol-optimized structure of MgTc3Cl, with properties calculated at the meta-GGA SCAN level.

E_tot in eV for the cell shown: -106.969
Energy above the most stable polymorph in this dataset in meV per atom: 1327

The structure in POSCAR format:
```
MgTc3Cl
1.0
4.690 0.000 0.000
0.000 4.690 0.000
0.000 0.000 4.690
Mg Tc Cl
1 3 1
direct
0.000 0.000 0.000
0.000 0.500 0.000
0.000 0.000 0.500
0.500 0.000 0.000
0.500 0.500 0.500
```

=====

Record 2
Below is a PBEsol-optimized structure of MgTcCl2, with properties calculated at the meta-GGA SCAN level.

E_tot in eV for the cell shown: -57.502
Energy above the most stable polymorph in this dataset in meV per atom: 0

The structure in POSCAR format:
```
MgTcCl2
1.0
3.113 0.000 0.000
0.000 4.501 0.000
-1.556 -2.250 6.099
Cl Mg Tc
2 1 1
direct
0.851 0.851 0.703
0.149 0.149 0.297
0.000 0.500 0.000
0.500 0.000 0.000
```

=====

Record 3
Below is a PBEsol-optimized structure of MgTcCl2, with properties calculated at the meta-GGA SCAN level.

E_tot in eV for the cell shown: -54.950
Energy above the most stable polymorph in this dataset in meV per atom: 638

The structure in POSCAR format:
```
MgTcCl2
1.0
-1.130 -2.451 -1.526
2.003 -2.698 2.851
-3.582 0.053 2.567
Cl Mg Tc
2 1 1
direct
0.000 0.000 0.500
0.000 0.500 0.000
0.500 0.500 0.500
0.500 0.000 0.000
```

=====

Record 4
Below is a PBEsol-optimized structure of MgTc2Cl, with properties calculated at the meta-GGA SCAN level.

E_tot in eV for the cell shown: -81.334

The structure in POSCAR format:
```
MgTc2Cl
1.0
-1.910 2.592 -1.233
-2.833 -1.939 0.311
-0.804 2.072 5.602
Cl Mg Tc
1 1 2
direct
0.500 0.500 0.500
0.000 0.000 0.500
0.000 0.500 0.000
0.500 0.000 0.000
```

=====

For reference, Fermi-level density of states by record: 4.31; 1.21; 2.55; 3.35 states/eV/f.u..
For reference, spin magnetization by record: 2.006; 0.156; 0.000; 0.000 μB per atom.
For reference, uncorrected formation energy by record: 2.23; -0.38; 0.26; 0.43 eV per atom.